A relaxed structure of Er8Ga3AsSe4. Source: the Alexandria database, functional GGA-PBE.

The structure in POSCAR format:
```
Er8Ga3AsSe4
1.0
4.015 2.318 6.927
-4.015 2.318 6.927
0.000 -4.636 6.927
Er Ga As Se
8 3 1 4
direct
0.249 0.747 0.747
0.250 0.250 0.250
0.253 0.253 0.751
0.253 0.751 0.253
0.747 0.249 0.747
0.747 0.747 0.249
0.750 0.750 0.750
0.751 0.253 0.253
0.000 0.000 0.500
0.000 0.500 0.000
0.500 0.000 0.000
0.500 0.500 0.500
0.000 0.000 0.000
0.000 0.500 0.500
0.500 0.000 0.500
0.500 0.500 0.000
```

Mass density: 8.32 g cm⁻³
Crystal system: trigonal
Formation energy without anion corrections: -1.2569 eV per atom

A relaxed structure of VTcSb2. Source: the Alexandria database, functional GGA-PBE.

The structure in POSCAR format:
```
VTcSb2
1.0
3.127 0.000 0.000
-1.564 2.708 0.000
0.000 0.000 28.169
V Tc Sb
3 3 6
direct
0.000 0.000 0.000
0.333 0.667 0.667
0.667 0.333 0.333
0.000 0.000 0.500
0.333 0.667 0.167
0.667 0.333 0.833
0.000 0.000 0.406
0.000 0.000 0.594
0.333 0.667 0.073
0.333 0.667 0.261
0.667 0.333 0.739
0.667 0.333 0.927
```

Mass density: 8.20 g cm⁻³
Crystal system: trigonal
Formation energy without anion corrections: 0.5327 eV per atom
Polymorph energy (0 for the lowest one): 38.2 kJ/mol of atoms

Among the records above, which one has the lowest formation energy without anion corrections?
Er8Ga3AsSe4

The lowest mass density belongs to which entry?
VTcSb2

formation energy without anion corrections of number 1 (Er8Ga3AsSe4)?
-1.2569 eV per atom